Density functional theory data (PBE) for a relaxed HoCu2Ni5 crystal. Values from VASP.

Symmetry ... Immm, No. 71
Formation energy from the elements ... -10 kJ/mol of formula units
Fermi-level density of states ... 11.46 states/eV/f.u.
V ... 109.3 Å³/cell

```
&SYSTEM
  ibrav = 0, nat = 8, ntyp = 3
/
ATOMIC_SPECIES
Ho 164.93 Ho.upf
Cu 63.55 Cu.upf
Ni 58.69 Ni.upf
CELL_PARAMETERS angstrom
3.5687 0.0000 0.0000
1.7843 5.6633 0.3647
1.7843 1.3989 5.4999
ATOMIC_POSITIONS crystal
Ho 0.0000 0.0000 0.0000
Cu 0.7438 0.7562 0.7562
Cu 0.2562 0.2438 0.2438
Ni 0.0000 0.5000 0.5000
Ni 0.6348 0.5491 0.1812
Ni 0.3651 0.4509 0.8188
Ni 0.3651 0.8188 0.4509
Ni 0.6348 0.1812 0.5491
```